1.
# PBE Dy2Er3Tm5, relaxed
data_Dy2Er3Tm5
_cell_length_a 12.596
_cell_length_b 16.789
_cell_length_c 6.163
_cell_angle_alpha 90.00
_cell_angle_beta 90.00
_cell_angle_gamma 90.00
_symmetry_space_group_name_H-M 'I b a m'
_symmetry_Int_Tables_number 72
_symmetry_space_group_name_Hall '-I 2 2c'
loop_
_atom_site_label
_atom_site_fract_x
_atom_site_fract_y
_atom_site_fract_z
Dy1 0.100 0.157 0.000
Er1 0.000 0.000 0.250
Er2 0.160 0.250 0.500
Tm1 0.000 0.500 0.250
Tm2 0.098 0.344 0.000
Tm3 0.249 0.500 0.250
# Distance to the lowest polymorph of the same formula = 157 meV per atom
# Final energy = -4.1639 eV/atom

2.
# PBE Dy6Er6Tm, relaxed
data_Dy6Er6Tm
_cell_length_a 6.494
_cell_length_b 10.908
_cell_length_c 6.505
_cell_angle_alpha 90.00
_cell_angle_beta 115.36
_cell_angle_gamma 90.00
_symmetry_space_group_name_H-M 'P 1 2/m 1'
_symmetry_Int_Tables_number 10
loop_
_symmetry_equiv_pos_as_xyz
'x,y,z'
'-x,-y,-z'
'-x,y,-z'
'x,-y,z'
loop_
_atom_site_label
_atom_site_fract_x
_atom_site_fract_y
_atom_site_fract_z
Dy1 0.000 0.167 0.000
Dy2 0.269 0.000 0.742
Dy3 0.326 0.500 0.610
Er1 0.000 0.267 0.500
Er2 0.500 0.198 0.500
Er3 0.500 0.286 0.000
Tm1 0.000 0.500 0.000
# Final energy = -4.3394 eV/atom

3.
# PBE Dy7Er12Tm, relaxed
data_Dy7Er12Tm
_cell_length_a 18.3710
_cell_length_b 18.3710
_cell_length_c 6.6224
_cell_angle_alpha 90.00
_cell_angle_beta 90.00
_cell_angle_gamma 120.00
_symmetry_space_group_name_H-M 'R -3'
_symmetry_Int_Tables_number 148
_symmetry_space_group_name_Hall '-R 3'
loop_
_atom_site_label
_atom_site_fract_x
_atom_site_fract_y
_atom_site_fract_z
Dy1 0.0000 0.0000 0.0000
Dy2 0.0085 0.1566 0.2830
Er1 0.0004 0.2132 0.7851
Er2 0.0068 0.5345 0.2391
Tm1 0.0000 0.0000 0.5000
# Distance to the lowest polymorph of the same formula = 34 meV per atom
# Final energy = -4.2333 eV/atom